# 1
Entry from Alexandria: an optimized crystal structure of Si3TeW (PBE-GGA).

Values from the calculation:
The distance to the lowest polymorph of the same formula is 1638.4 meV per atom. The formation energy without anion corrections is 2.323 eV/atom.

Lattice parameters (Å, degrees): 4.9221 4.9221 4.9221 90.00 90.00 90.00
With the nearest neighbours (Å) after each atom.
Space group Pm-3m (No. 221)
Asymmetric unit:
Si: 0.0000 0.0000 0.5000  2 Te 2.46
Te: 0.0000 0.0000 0.0000  6 Si 2.46
W: 0.5000 0.5000 0.5000  12 Si 3.48


# 2
Entry from Alexandria: an optimized crystal structure of Pm2Os (PBE-GGA).

Values from the calculation:
The energy of formation comes out at -0.083 eV per atom. The distance to the lowest polymorph of the same formula is 2.6 meV per atom.

Lattice parameters (Å, degrees): 11.7020 4.2370 8.2756 90.00 125.74 90.00
With the nearest neighbours (Å) after each atom.
Space group C2/m (No. 12)
Asymmetric unit:
Pm: 0.0742 0.0000 0.3549  2 Os 2.86
Pm: 0.1890 0.5000 0.1049  3 Os 2.92-3.04
Os: 0.1031 0.5000 0.6804  1 Os 2.51


# 3
Entry from Alexandria: an optimized crystal structure of NaCaSb (PBE-GGA).

Values from the calculation:
The formation energy without anion corrections is -0.770 eV/atom.

Lattice parameters (Å, degrees): 5.4579 5.4579 6.6795 90.00 90.00 120.00
With the nearest neighbours (Å) after each atom.
Space group P6_3/mmc (No. 194)
Asymmetric unit:
Na: 0.0000 0.0000 0.0000  2 Na 3.34, 6 Sb 3.57, 6 Ca 3.57
Ca: 0.3333 0.6667 0.2500  5 Sb 3.15-3.34
Sb: 0.3333 0.6667 0.7500  5 Ca 3.15-3.34


# 4
Entry from Alexandria: an optimized crystal structure of Li3Te12As5 (PBE-GGA).

Values from the calculation:
The formation energy without anion corrections is -0.047 eV/atom.

Lattice parameters (Å, degrees): 17.1334 17.1334 17.1334 90.00 90.00 90.00
With the nearest neighbours (Å) after each atom.
Space group Ia-3d (No. 230)
Asymmetric unit:
Li: 0.0000 0.2500 0.1250  8 Te 3.17-3.18
Te: 0.0177 0.0679 0.6525  2 As 2.74-2.88
As: 0.0000 0.0000 0.0000  6 Te 2.88
As: 0.0000 0.2500 0.3750  4 Te 2.74


# 5
Entry from Alexandria: an optimized crystal structure of V2NiB (PBE-GGA).

Values from the calculation:
The energy of formation comes out at -0.110 eV per atom.

Lattice parameters (Å, degrees): 2.8886 2.8886 19.1412 90.00 90.00 120.00
With the nearest neighbours (Å) after each atom.
Space group R-3m (No. 166, hexagonal axes)
Asymmetric unit:
V: 0.0000 0.0000 0.2305  3 B 2.07
Ni: 0.0000 0.0000 0.0000  6 V 2.58, 6 Ni 2.89
B: 0.0000 0.0000 0.5000  6 V 2.07


# 6
Entry from Alexandria: an optimized crystal structure of ReW2Au (PBE-GGA).

Values from the calculation:
The energy of formation comes out at 0.416 eV per atom. The distance to the lowest polymorph of the same formula is 146.4 meV per atom.

Lattice parameters (Å, degrees): 2.7858 2.7858 8.4010 90.00 90.00 90.00
With the nearest neighbours (Å) after each atom.
Space group P4mm (No. 99)
Asymmetric unit:
Re: 0.0000 0.0000 0.0000  4 W 2.74, 4 Re 2.79, 4 Au 2.94
W: 0.0000 0.0000 0.4800  8 W 2.79-2.90, 4 Au 2.94
W: 0.5000 0.5000 0.2274  4 Re 2.74, 8 W 2.79-2.90
Au: 0.5000 0.5000 0.7395  4 Au 2.79, 4 W 2.94, 4 Re 2.94


# 7
Entry from Alexandria: an optimized crystal structure of ZrRu2Br (PBE-GGA).

Values from the calculation:
The distance to the lowest polymorph of the same formula is 383.6 meV per atom. The formation energy without anion corrections is 0.370 eV/atom.

Lattice parameters (Å, degrees): 3.8695 3.8695 9.0467 90.00 90.00 90.00
With the nearest neighbours (Å) after each atom.
Space group I-4m2 (No. 119)
Asymmetric unit:
Zr: 0.0000 0.0000 0.0000  8 Ru 2.74-2.98, 4 Br 2.98
Ru: 0.0000 0.0000 0.5000  4 Zr 2.74, 4 Br 2.98, 4 Ru 2.98
Ru: 0.0000 0.5000 0.2500  4 Br 2.74, 4 Ru 2.98, 4 Zr 2.98
Br: 0.0000 0.5000 0.7500  8 Ru 2.74-2.98, 4 Zr 2.98


# 8
Entry from Alexandria: an optimized crystal structure of InBiPb (PBE-GGA).

Values from the calculation:
The energy of formation comes out at 0.042 eV per atom. The distance to the lowest polymorph of the same formula is 20.0 meV per atom.

Lattice parameters (Å, degrees): 3.4120 3.4120 15.7689 90.00 90.00 90.00
With the nearest neighbours (Å) after each atom.
Space group I4mm (No. 107)
Asymmetric unit:
In: 0.0000 0.0000 0.0000  4 In 3.41, 4 Bi 3.54, 4 Pb 3.56
Bi: 0.0000 0.0000 0.6642  4 Bi 3.41, 4 In 3.54, 4 Pb 3.61
Pb: 0.0000 0.0000 0.3341  4 Pb 3.41, 4 In 3.56, 4 Bi 3.61


# 9
Entry from Alexandria: an optimized crystal structure of LaS2 (PBE-GGA).

Values from the calculation:
The formation energy without anion corrections is -1.871 eV/atom.

Lattice parameters (Å, degrees): 8.1723 16.4083 4.1586 90.00 90.00 90.00
With the nearest neighbours (Å) after each atom.
Space group Pnma (No. 62)
Asymmetric unit:
La: 0.1297 0.1115 0.2169  9 S 2.91-3.25
S: 0.1000 0.2500 0.6599  1 S 2.11
S: 0.1070 0.7500 0.6443  1 S 2.11
S: 0.1257 0.5674 0.2381  5 La 2.91-3.17


# 10
Entry from Alexandria: an optimized crystal structure of Cs3KBe (PBE-GGA).

Values from the calculation:
The energy of formation comes out at 0.846 eV per atom. The distance to the lowest polymorph of the same formula is 350.2 meV per atom.

Lattice parameters (Å, degrees): 8.5389 8.5389 8.5389 90.00 90.00 90.00
With the nearest neighbours (Å) after each atom.
Space group Pm-3m (No. 221)
Asymmetric unit:
Cs: 0.0000 0.0000 0.5000  2 K 4.27
K: 0.0000 0.0000 0.0000  6 Cs 4.27
Be: 0.5000 0.5000 0.5000  none within 6


# 11
Entry from Alexandria: an optimized crystal structure of Ca3Ce2PaAs6 (PBE-GGA).

Values from the calculation:
The energy of formation comes out at -1.277 eV per atom.

Lattice parameters (Å, degrees): 7.3668 12.7567 7.2568 90.00 109.81 90.00
With the nearest neighbours (Å) after each atom.
Space group C2/m (No. 12)
Asymmetric unit:
Ca: 0.0000 0.0000 0.0000  6 As 3.03-3.12
Ca: 0.0000 0.3312 0.0000  6 As 3.03-3.09
Ce: 0.0000 0.1664 0.5000  6 As 2.96
Pa: 0.0000 0.5000 0.5000  6 As 2.86-2.87
As: 0.2397 0.3382 0.7343  1 Pa 2.87, 2 Ce 2.96, 3 Ca 3.03-3.09
As: 0.2451 0.5000 0.2666  1 Pa 2.86, 2 Ce 2.96, 3 Ca 3.05-3.12


# 12
Entry from Alexandria: an optimized crystal structure of AsIrS2Cl (PBE-GGA).

Values from the calculation:
The distance to the lowest polymorph of the same formula is 0.0 meV per atom. The formation energy without anion corrections is 0.545 eV/atom.

Lattice parameters (Å, degrees): 4.6641 4.6641 4.6747 90.00 90.00 90.00
With the nearest neighbours (Å) after each atom.
Space group P4/mmm (No. 123)
Asymmetric unit:
As: 0.0000 0.0000 0.0000  4 Cl 3.30, 8 S 3.30
Ir: 0.5000 0.5000 0.5000  4 S 2.33, 2 Cl 2.34
S: 0.0000 0.5000 0.5000  2 Ir 2.33
Cl: 0.5000 0.5000 0.0000  2 Ir 2.34